1.
## Pr7GeP5 (PBE)

Data for a relaxed structure of Pr7GeP5.

Cell: 4.206 13.841 24.717 Å, 90.00 90.00 90.00°
Space group Cmcm (No. 63)
Unique sites:
Pr1 0.000 0.047 0.250 (multiplicity 4)
Pr2 0.000 0.137 0.535 (multiplicity 8)
Pr3 0.000 0.319 0.175 (multiplicity 8)
Pr4 0.000 0.411 0.606 (multiplicity 8)
Ge1 0.000 0.298 0.750 (multiplicity 4)
P1 0.000 0.046 0.645 (multiplicity 8)
P2 0.000 0.227 0.074 (multiplicity 8)
P3 0.000 0.500 0.000 (multiplicity 4)

=====

2.
## LaTb2Pr3Se6 (PBE)

Data for a relaxed structure of LaTb2Pr3Se6.

Cell: 7.273 12.650 7.337 Å, 90.00 109.42 90.00°
Space group C2/m (No. 12)
Unique sites:
La1 0.000 0.000 0.000 (multiplicity 2)
Tb1 0.000 0.333 0.000 (multiplicity 4)
Pr1 0.000 0.162 0.500 (multiplicity 4)
Pr2 0.000 0.500 0.500 (multiplicity 2)
Se1 0.235 0.500 0.237 (multiplicity 4)
Se2 0.248 0.328 0.758 (multiplicity 8)

=====

3.
## AlCdCl2 (PBE)

Data for a relaxed structure of AlCdCl2.

Cell: 3.254 5.513 12.094 Å, 90.00 90.00 90.00°
Space group Immm (No. 71)
Unique sites:
Al1 0.000 0.000 0.000 (multiplicity 2)
Cd1 0.000 0.000 0.500 (multiplicity 2)
Cl1 0.000 0.500 0.350 (multiplicity 4)

The calculation puts the energy relative to the lowest polymorph listed for this composition at 0.188 eV/atom.

=====

Number 1: E_tot -82.4 eV/f.u.. Number 2: E_tot -71.6 eV/f.u.. Number 3: E_tot -10.3 eV/f.u..